No. 1
A plane-wave DFT calculation with PBE-GGA was carried out for a relaxed structure of U2P4Pd.

The space group is P-4m2 (No. 115) and the conventional cell measures 3.749, 3.749 and 9.223 Å, with angles of 90.00, 90.00 and 90.00 degrees. Symmetry generates all atoms from U at (0.000, 0.500, 0.234), P at (0.000, 0.000, 0.000), P at (0.000, 0.500, 0.673), P at (0.500, 0.500, 0.000) and Pd at (0.000, 0.000, 0.500).

The value obtained for the calculated total energy is -7.798 eV/atom. As for the energy of formation from the pure elements: -0.74 eV/atom.

=====

No. 2
A plane-wave DFT calculation with PBE-GGA was carried out for a relaxed structure of U2P3Pd5.

The space group is Cmc2_1 (No. 36) and the conventional cell measures 4.252, 22.495 and 7.206 Å, with angles of 90.00, 90.00 and 90.00 degrees. Symmetry generates all atoms from U at (0.000, 0.014, 0.000), U at (0.000, 0.330, 0.004), P at (0.000, 0.103, 0.672), P at (0.000, 0.257, 0.586), P at (0.000, 0.454, 0.753), Pd at (0.000, 0.102, 0.315), Pd at (0.000, 0.192, 0.865), Pd at (0.000, 0.228, 0.263), Pd at (0.000, 0.360, 0.571) and Pd at (0.000, 0.438, 0.255).

The value obtained for the calculated total energy is -7.087 eV/atom. As for the energy of formation from the pure elements: -0.61 eV/atom.

=====

No. 3
A plane-wave DFT calculation with PBE-GGA was carried out for a relaxed structure of U3P4Pd2.

The space group is C2/m (No. 12) and the conventional cell measures 14.104, 3.814 and 6.811 Å, with angles of 90.00, 112.28 and 90.00 degrees. Symmetry generates all atoms from U at (0.000, 0.000, 0.000), U at (0.131, 0.000, 0.577), P at (0.007, 0.500, 0.713), P at (0.210, 0.000, 0.249) and Pd at (0.177, 0.500, 0.993).

The value obtained for the calculated total energy is -8.109 eV/atom. As for the energy of formation from the pure elements: -0.79 eV/atom.